# 1
Pa4Co4Cu: relaxed, PBE.

The structure belongs to space group P4_2/n (No. 86, origin choice 2); the cell edges are 8.1760, 8.1760 and 4.9168 Å and the angles 90.00°, 90.00° and 90.00°. The distinct sites, in fractional coordinates, are Pa at (0.0298, 0.6845, 0.0655), Co at (0.0118, 0.6559, 0.5509) and Cu at (0.2500, 0.2500, 0.2500).

The value obtained for the energy relative to the elements is -228 kJ/mol of formula units.

***

# 2
Pa2Co4Cu: relaxed, PBE.

The structure belongs to space group C2/m (No. 12); the cell edges are 7.9882, 5.2077 and 6.4033 Å and the angles 90.00°, 118.95° and 90.00°. The distinct sites, in fractional coordinates, are Pa at (0.1833, 0.0000, 0.2964), Co at (0.1652, 0.0000, 0.6405), Co at (0.2500, 0.2500, 0.0000) and Cu at (0.0000, 0.5000, 0.0000).

The value obtained for the energy relative to the elements is -81 kJ/mol of formula units.

***

# 3
PaCoCu: relaxed, PBE.

The structure belongs to space group I4mm (No. 107); the cell edges are 3.1447, 3.1447 and 12.7733 Å and the angles 90.00°, 90.00° and 90.00°. The distinct sites, in fractional coordinates, are Pa at (0.0000, 0.0000, 0.0000), Co at (0.0000, 0.0000, 0.6007) and Cu at (0.0000, 0.0000, 0.7858).

The value obtained for the energy relative to the elements is 186 kJ/mol of formula units. As for the energy above the lowest structure with this stoichiometry: 83.4 kJ/mol of atoms.

***

# 4
Pa2CoCu: relaxed, PBE.

The structure belongs to space group P4/mmm (No. 123); the cell edges are 3.4005, 3.4005 and 6.5929 Å and the angles 90.00°, 90.00° and 90.00°. The distinct sites, in fractional coordinates, are Pa at (0.0000, 0.0000, 0.2199), Co at (0.5000, 0.5000, 0.0000) and Cu at (0.5000, 0.5000, 0.5000).

The value obtained for the energy relative to the elements is -6 kJ/mol of formula units. As for the energy above the lowest structure with this stoichiometry: 0.0 kJ/mol of atoms.

***

# 5
Pa2Co9Cu: relaxed, PBE.

The structure belongs to space group R-3m (No. 166, hexagonal axes); the cell edges are 4.8105, 4.8105 and 24.2887 Å and the angles 90.00°, 90.00° and 120.00°. The distinct sites, in fractional coordinates, are Pa at (0.0000, 0.0000, 0.1306), Co at (0.0000, 0.0000, 0.3338), Co at (0.0000, 0.0000, 0.5000), Co at (0.0009, 0.5004, 0.9186) and Cu at (0.0000, 0.0000, 0.0000).

The value obtained for the energy relative to the elements is -67 kJ/mol of formula units.

***

# 6
PaCo2Cu: relaxed, PBE.

The structure belongs to space group P4/mmm (No. 123); the cell edges are 4.0205, 4.0205 and 3.5611 Å and the angles 90.00°, 90.00° and 90.00°. The distinct sites, in fractional coordinates, are Pa at (0.0000, 0.0000, 0.0000), Co at (0.0000, 0.5000, 0.5000) and Cu at (0.5000, 0.5000, 0.0000).

The value obtained for the energy relative to the elements is -91 kJ/mol of formula units. As for the energy above the lowest structure with this stoichiometry: 0.0 kJ/mol of atoms.

***

# 7
PmPaCoCu: relaxed, PBE.

The structure belongs to space group F-43m (No. 216); the cell edges are 6.8486, 6.8486 and 6.8486 Å and the angles 90.00°, 90.00° and 90.00°. The distinct sites, in fractional coordinates, are Pm at (0.0000, 0.0000, 0.0000), Pa at (0.0000, 0.0000, 0.5000), Co at (0.2500, 0.2500, 0.7500) and Cu at (0.2500, 0.2500, 0.2500).

The value obtained for the energy relative to the elements is 22 kJ/mol of formula units.

***

# 8
PaCoCuPt: relaxed, PBE.

The structure belongs to space group F-43m (No. 216); the cell edges are 6.4692, 6.4692 and 6.4692 Å and the angles 90.00°, 90.00° and 90.00°. The distinct sites, in fractional coordinates, are Pa at (0.0000, 0.0000, 0.0000), Co at (0.2500, 0.2500, 0.7500), Cu at (0.0000, 0.0000, 0.5000) and Pt at (0.2500, 0.2500, 0.2500).

The value obtained for the energy relative to the elements is -116 kJ/mol of formula units.

***

# 9
PuPaCoCu: relaxed, PBE.

The structure belongs to space group F-43m (No. 216); the cell edges are 6.4626, 6.4626 and 6.4626 Å and the angles 90.00°, 90.00° and 90.00°. The distinct sites, in fractional coordinates, are Pu at (0.0000, 0.0000, 0.0000), Pa at (0.2500, 0.2500, 0.2500), Co at (0.0000, 0.0000, 0.5000) and Cu at (0.2500, 0.2500, 0.7500).

The value obtained for the energy relative to the elements is -59 kJ/mol of formula units.

***

# 10
PaCoCuRh: relaxed, PBE.

The structure belongs to space group F-43m (No. 216); the cell edges are 6.3548, 6.3548 and 6.3548 Å and the angles 90.00°, 90.00° and 90.00°. The distinct sites, in fractional coordinates, are Pa at (0.0000, 0.0000, 0.0000), Co at (0.2500, 0.2500, 0.7500), Cu at (0.0000, 0.0000, 0.5000) and Rh at (0.2500, 0.2500, 0.2500).

The value obtained for the energy relative to the elements is -108 kJ/mol of formula units.

***

# 11
PaCoCuRu: relaxed, PBE.

The structure belongs to space group Pmmm (No. 47); the cell edges are 3.6831, 4.0690 and 4.0860 Å and the angles 90.00°, 90.00° and 90.00°. The distinct sites, in fractional coordinates, are Pa at (0.0000, 0.0000, 0.0000), Co at (0.5000, 0.5000, 0.0000), Cu at (0.0000, 0.5000, 0.5000) and Ru at (0.5000, 0.0000, 0.5000).

The value obtained for the energy relative to the elements is -132 kJ/mol of formula units. As for the energy above the lowest structure with this stoichiometry: 0.0 kJ/mol of atoms.

***

# 12
PaCoCuRu: relaxed, PBE.

The structure belongs to space group F-43m (No. 216); the cell edges are 6.3053, 6.3053 and 6.3053 Å and the angles 90.00°, 90.00° and 90.00°. The distinct sites, in fractional coordinates, are Pa at (0.0000, 0.0000, 0.0000), Co at (0.2500, 0.2500, 0.2500), Cu at (0.0000, 0.0000, 0.5000) and Ru at (0.2500, 0.2500, 0.7500).

The value obtained for the energy relative to the elements is -59 kJ/mol of formula units. As for the energy above the lowest structure with this stoichiometry: 18.3 kJ/mol of atoms.

***

# 13
ScPaCoCu: relaxed, PBE.

The structure belongs to space group F-43m (No. 216); the cell edges are 6.6040, 6.6040 and 6.6040 Å and the angles 90.00°, 90.00° and 90.00°. The distinct sites, in fractional coordinates, are Sc at (0.0000, 0.0000, 0.0000), Pa at (0.0000, 0.0000, 0.5000), Co at (0.2500, 0.2500, 0.7500) and Cu at (0.2500, 0.2500, 0.2500).

The value obtained for the energy relative to the elements is -36 kJ/mol of formula units.

***

# 14
Pa2Co4CuSi3: relaxed, PBE.

The structure belongs to space group P-4m2 (No. 115); the cell edges are 3.8561, 3.8561 and 9.8491 Å and the angles 90.00°, 90.00° and 90.00°. The distinct sites, in fractional coordinates, are Pa at (0.0000, 0.5000, 0.2478), Co at (0.0000, 0.0000, 0.5000), Co at (0.0000, 0.5000, 0.8565), Co at (0.5000, 0.5000, 0.5000), Cu at (0.5000, 0.5000, 0.0000), Si at (0.0000, 0.0000, 0.0000) and Si at (0.0000, 0.5000, 0.6256).

The energy relative to the elements, uncorrected comes out at -0.622 eV per atom.

***

Number 1: energy -0.298 hartree per atom, density of states at the Fermi level 1.077 states/eV/atom. Number 2: energy -0.275 hartree per atom, density of states at the Fermi level 0.829 states/eV/atom. Number 3: energy -0.230 hartree per atom, density of states at the Fermi level 1.158 states/eV/atom. Number 4: energy -0.278 hartree per atom, density of states at the Fermi level 1.670 states/eV/atom. Number 5: energy -0.269 hartree per atom, density of states at the Fermi level 1.218 states/eV/atom. Number 6: energy -0.264 hartree per atom, density of states at the Fermi level 0.185 states/eV/atom. Number 7: energy -0.232 hartree per atom, density of states at the Fermi level 1.386 states/eV/atom. Number 8: energy -0.257 hartree per atom, density of states at the Fermi level 1.124 states/eV/atom. Number 9: energy -0.327 hartree per atom, density of states at the Fermi level 1.054 states/eV/atom. Number 10: energy -0.268 hartree per atom, density of states at the Fermi level 0.752 states/eV/atom. Number 11: energy -0.288 hartree per atom, density of states at the Fermi level 1.059 states/eV/atom. Number 12: energy -0.281 hartree per atom, density of states at the Fermi level 0.554 states/eV/atom. Number 13: energy -0.252 hartree per atom, density of states at the Fermi level 1.505 states/eV/atom. Number 14: energy -0.272 hartree per atom, density of states at the Fermi level 1.007 states/eV/atom.